Here is an optimized crystal structure of Rb2NaCoF6 from the Alexandria database. Energies are from PBE with a Hubbard U.

a b c (Å): 8.4515 8.4515 8.4515
angles (deg): 90.00 90.00 90.00
Space group Fm-3m (No. 225)
Asymmetric unit:
Rb1 0.2500 0.2500 0.2500
Na1 0.0000 0.0000 0.0000
Co1 0.0000 0.0000 0.5000
F1 0.0000 0.0000 0.2771

Total magnetic moment: 0.14 μB per formula unit
Total DFT energy (no corrections): -4.4490 eV per atom